(i)
NbAgSe2N after structural relaxation. Source: Alexandria via LeMat-Bulk, functional PBE.

abc: 5.2112 5.2112 3.9131
angles: 90.00 90.00 90.00
Closest atoms and distances in Å follow each position.
Element x y z (fractional)
Nb  0.0000  0.0000  0.0000  2 N 1.96
Ag  0.5000  0.5000  0.5000  8 Se 3.26
Se  0.0000  0.5000  0.0000  2 Nb 2.61
Se  0.5000  0.0000  0.0000  2 Nb 2.61
N  0.0000  0.0000  0.5000  2 Nb 1.96

Results
DOS at the Fermi energy ... 0.737 states/eV per atom

---

(ii)
NbAgSe2N after structural relaxation. Source: Alexandria via LeMat-Bulk, functional PBE.

abc: 5.1658 5.1658 3.8634
angles: 90.00 90.00 90.00
Closest atoms and distances in Å follow each position.
Element x y z (fractional)
Nb  0.0000  0.0000  0.0000  8 Se 3.23
Ag  0.5000  0.5000  0.5000  2 N 1.93
Se  0.0000  0.5000  0.5000  2 Ag 2.58
Se  0.5000  0.0000  0.5000  2 Ag 2.58
N  0.5000  0.5000  0.0000  2 Ag 1.93

Results
DOS at the Fermi energy ... 0.822 states/eV per atom

---

Last place for stability: (ii)

---

(i)
Nd3AgN after structural relaxation. Source: Alexandria via LeMat-Bulk, functional PBE.

abc: 5.0080 5.0080 5.0080
angles: 90.00 90.00 90.00
Closest atoms and distances in Å follow each position.
Element x y z (fractional)
Nd  0.0000  0.0000  0.5000  2 N 2.50
Nd  0.0000  0.5000  0.0000  2 N 2.50
Nd  0.5000  0.0000  0.0000  2 N 2.50
Ag  0.5000  0.5000  0.5000  12 Nd 3.54
N  0.0000  0.0000  0.0000  6 Nd 2.50

Results
DOS at the Fermi energy ... 1.080 states/eV per atom

---

(ii)
Nd3AgN after structural relaxation. Source: Alexandria via LeMat-Bulk, functional PBE.

abc: 8.9492 6.4129 9.5443
angles: 90.00 115.29 90.00
Closest atoms and distances in Å follow each position.
Element x y z (fractional)
Nd  0.0662  0.0788  0.3575  3 N 2.55-2.70
Nd  0.0662  0.4212  0.8575  3 N 2.55-2.70
Nd  0.1945  0.5883  0.5479  2 N 2.44-2.55
Nd  0.1945  0.9117  0.0479  2 N 2.44-2.55
Nd  0.3481  0.1203  0.7619  1 N 2.41
Nd  0.3481  0.3797  0.2619  1 N 2.41
Nd  0.6519  0.6203  0.7381  1 N 2.41
Nd  0.6519  0.8797  0.2381  1 N 2.41
Nd  0.8055  0.0883  0.9521  2 N 2.44-2.55
Nd  0.8055  0.4117  0.4521  2 N 2.44-2.55
Nd  0.9338  0.5788  0.1425  3 N 2.55-2.70
Nd  0.9338  0.9212  0.6425  3 N 2.55-2.70
Ag  0.4097  0.6623  0.9065  1 Ag 2.77
Ag  0.4097  0.8377  0.4065  1 Ag 2.77
Ag  0.5903  0.1623  0.5935  1 Ag 2.77
Ag  0.5903  0.3377  0.0935  1 Ag 2.77
N  0.0755  0.2467  0.1016  6 Nd 2.41-2.70
N  0.0755  0.2533  0.6016  6 Nd 2.41-2.70
N  0.9245  0.7467  0.3984  6 Nd 2.41-2.70
N  0.9245  0.7533  0.8984  6 Nd 2.41-2.70

Results
DOS at the Fermi energy ... 1.015 states/eV per atom

---

Last place for stability: (ii)

---

(i)
Ni2AgN2 after structural relaxation. Source: Alexandria via LeMat-Bulk, functional PBE.

abc: 5.1884 5.1884 5.1884
angles: 138.84 138.84 59.61
Closest atoms and distances in Å follow each position.
Element x y z (fractional)
Ni  0.2500  0.7500  0.5000  4 N 1.93
Ni  0.7500  0.2500  0.5000  4 N 1.93
Ag  0.0000  0.0000  0.0000  10 N 2.87-3.05, 8 Ni 2.90
N  0.3186  0.3186  0.0000  4 Ni 1.93
N  0.6814  0.6814  0.0000  4 Ni 1.93

Results
DOS at the Fermi energy ... 0.454 states/eV per atom

---

(ii)
Ni2AgN2 after structural relaxation. Source: Alexandria via LeMat-Bulk, functional PBE.

abc: 6.2351 6.2351 2.6939
angles: 90.00 90.00 90.00
Closest atoms and distances in Å follow each position.
Element x y z (fractional)
Ni  0.1309  0.3691  0.0000  4 N 2.10, 1 Ni 2.31
Ni  0.3691  0.8691  0.0000  4 N 2.10, 1 Ni 2.31
Ni  0.6309  0.1309  0.0000  4 N 2.10, 1 Ni 2.31
Ni  0.8691  0.6309  0.0000  4 N 2.10, 1 Ni 2.31
Ag  0.0000  0.0000  0.5000  4 N 2.46, 2 Ag 2.69
Ag  0.5000  0.5000  0.5000  4 N 2.46, 2 Ag 2.69
N  0.1272  0.6272  0.5000  4 Ni 2.10, 1 N 2.24
N  0.3728  0.1272  0.5000  4 Ni 2.10, 1 N 2.24
N  0.6272  0.8728  0.5000  4 Ni 2.10, 1 N 2.24
N  0.8728  0.3728  0.5000  4 Ni 2.10, 1 N 2.24

Results
DOS at the Fermi energy ... 0.862 states/eV per atom

---

Last place for stability: (ii)

---

(i)
NiAgSN2 after structural relaxation. Source: Alexandria via LeMat-Bulk, functional PBE.

abc: 3.9487 3.9487 5.3417
angles: 90.00 90.00 90.00
Closest atoms and distances in Å follow each position.
Element x y z (fractional)
Ni  0.0000  0.0000  0.0000  4 S 2.79
Ag  0.5000  0.5000  0.5000  4 N 1.97
S  0.5000  0.5000  0.0000  2 Ag 2.67, 4 Ni 2.79
N  0.0000  0.5000  0.5000  2 Ag 1.97
N  0.5000  0.0000  0.5000  2 Ag 1.97

Results
DOS at the Fermi energy ... 0.705 states/eV per atom

---

(ii)
NiAgSN2 after structural relaxation. Source: Alexandria via LeMat-Bulk, functional PBE.

abc: 3.5247 3.5247 6.9176
angles: 90.00 90.00 90.00
Closest atoms and distances in Å follow each position.
Element x y z (fractional)
Ni  0.0000  0.0000  0.0000  4 N 1.76
Ag  0.5000  0.5000  0.5000  4 S 2.49
S  0.0000  0.0000  0.5000  4 Ag 2.49
N  0.0000  0.5000  0.0000  2 Ni 1.76
N  0.5000  0.0000  0.0000  2 Ni 1.76

Results
DOS at the Fermi energy ... 0.793 states/eV per atom

---

Last place for stability: (i)

---

(i)
NiAgS2N after structural relaxation. Source: Alexandria via LeMat-Bulk, functional PBE.

abc: 4.8090 4.8090 3.3878
angles: 90.00 90.00 90.00
Closest atoms and distances in Å follow each position.
Element x y z (fractional)
Ni  0.0000  0.0000  0.0000  2 N 1.69
Ag  0.5000  0.5000  0.5000  8 S 2.94
S  0.0000  0.5000  0.0000  2 Ni 2.40
S  0.5000  0.0000  0.0000  2 Ni 2.40
N  0.0000  0.0000  0.5000  2 Ni 1.69

Results
DOS at the Fermi energy ... 1.144 states/eV per atom

---

(ii)
NiAgS2N after structural relaxation. Source: Alexandria via LeMat-Bulk, functional PBE.

abc: 4.9253 4.9253 3.8233
angles: 90.00 90.00 90.00
Closest atoms and distances in Å follow each position.
Element x y z (fractional)
Ni  0.0000  0.0000  0.0000  8 S 3.12, 4 N 3.48
Ag  0.5000  0.5000  0.5000  2 N 1.91
S  0.0000  0.5000  0.5000  2 Ag 2.46
S  0.5000  0.0000  0.5000  2 Ag 2.46
N  0.5000  0.5000  0.0000  2 Ag 1.91

Results
DOS at the Fermi energy ... 1.782 states/eV per atom

---

Last place for stability: (ii)

---

(i)
NiAgSeN2 after structural relaxation. Source: Alexandria via LeMat-Bulk, functional PBE.

abc: 3.8180 3.8180 5.1822
angles: 90.00 90.00 90.00
Closest atoms and distances in Å follow each position.
Element x y z (fractional)
Ni  0.0000  0.0000  0.0000  4 Ag 2.70
Ag  0.5000  0.5000  0.0000  2 Se 2.59, 4 Ni 2.70
Se  0.5000  0.5000  0.5000  4 N 1.91
N  0.0000  0.5000  0.5000  2 Se 1.91
N  0.5000  0.0000  0.5000  2 Se 1.91

Results
DOS at the Fermi energy ... 1.061 states/eV per atom

---

(ii)
NiAgSeN2 after structural relaxation. Source: Alexandria via LeMat-Bulk, functional PBE.

abc: 3.6856 3.6856 5.4458
angles: 90.00 90.00 90.00
Closest atoms and distances in Å follow each position.
Element x y z (fractional)
Ni  0.0000  0.0000  0.0000  4 N 1.84
Ag  0.5000  0.5000  0.5000  4 Se 2.61
Se  0.0000  0.0000  0.5000  4 Ag 2.61, 2 Ni 2.72
N  0.0000  0.5000  0.0000  2 Ni 1.84
N  0.5000  0.0000  0.0000  2 Ni 1.84

Results
DOS at the Fermi energy ... 0.913 states/eV per atom

---

(iii)
NiAgSeN2 after structural relaxation. Source: Alexandria via LeMat-Bulk, functional PBE.

abc: 3.8737 3.8737 5.6351
angles: 90.00 90.00 90.00
Closest atoms and distances in Å follow each position.
Element x y z (fractional)
Ni  0.0000  0.0000  0.0000  4 Se 2.74
Ag  0.5000  0.5000  0.5000  4 N 1.94
Se  0.5000  0.5000  0.0000  4 Ni 2.74, 2 Ag 2.82
N  0.0000  0.5000  0.5000  2 Ag 1.94
N  0.5000  0.0000  0.5000  2 Ag 1.94

Results
DOS at the Fermi energy ... 1.609 states/eV per atom

---

Last place for stability: (iii)

---

(i)
Y2NiAgN after structural relaxation. Source: Alexandria via LeMat-Bulk, functional PBE.

abc: 5.5076 5.5076 3.7993
angles: 90.00 90.00 90.00
Closest atoms and distances in Å follow each position.
Element x y z (fractional)
Y  0.0000  0.5000  0.0000  2 Ag 2.75
Y  0.5000  0.0000  0.0000  2 Ag 2.75
Ni  0.0000  0.0000  0.5000  8 Y 3.35
Ag  0.5000  0.5000  0.0000  2 N 1.90
N  0.5000  0.5000  0.5000  2 Ag 1.90

Results
DOS at the Fermi energy ... 0.721 states/eV per atom

---

(ii)
Y2NiAgN after structural relaxation. Source: Alexandria via LeMat-Bulk, functional PBE.

abc: 4.8757 4.8757 3.7887
angles: 90.00 90.00 90.00
Closest atoms and distances in Å follow each position.
Element x y z (fractional)
Y  0.0000  0.5000  0.0000  2 N 2.44
Y  0.5000  0.0000  0.0000  2 N 2.44
Ni  0.0000  0.0000  0.5000  2 N 1.89
Ag  0.5000  0.5000  0.5000  8 Y 3.09, 4 Ni 3.45
N  0.0000  0.0000  0.0000  2 Ni 1.89

Results
DOS at the Fermi energy ... 0.809 states/eV per atom

---

Last place for stability: (i)

---

(i)
Ag2NO after structural relaxation. Source: Alexandria via LeMat-Bulk, functional PBE.

abc: 4.0944 4.0944 4.0944
angles: 60.00 60.00 60.00
Closest atoms and distances in Å follow each position.
Element x y z (fractional)
Ag  0.2500  0.2500  0.2500  4 O 2.51, 4 N 2.51
Ag  0.7500  0.7500  0.7500  4 O 2.51, 4 N 2.51
N  0.0000  0.0000  0.0000  8 Ag 2.51
O  0.5000  0.5000  0.5000  8 Ag 2.51

Results
DOS at the Fermi energy ... 1.165 states/eV per atom

---

(ii)
Ag2NO after structural relaxation. Source: Alexandria via LeMat-Bulk, functional PBE.

abc: 5.2670 5.2670 5.2670
angles: 114.51 114.51 99.81
Closest atoms and distances in Å follow each position.
Element x y z (fractional)
Ag  0.1124  0.6250  0.9874  2 N 2.14, 2 O 2.23
Ag  0.3750  0.3624  0.4874  2 N 2.14, 2 O 2.23
Ag  0.6376  0.1250  0.0126  2 N 2.14, 2 O 2.23
Ag  0.8750  0.8876  0.5126  2 N 2.14, 2 O 2.23
N  0.0000  0.0000  0.0000  4 Ag 2.14
N  0.7500  0.2500  0.5000  4 Ag 2.14
O  0.2500  0.7500  0.5000  4 Ag 2.23
O  0.5000  0.5000  0.0000  4 Ag 2.23

Results
DOS at the Fermi energy ... 0.272 states/eV per atom

---

Last place for stability: (i)

---

(i)
AgP2NO after structural relaxation. Source: Alexandria via LeMat-Bulk, functional PBE.

abc: 4.7772 4.7772 3.8538
angles: 90.00 90.00 90.00
Closest atoms and distances in Å follow each position.
Element x y z (fractional)
Ag  0.0000  0.0000  0.0000  2 O 1.93
P  0.0000  0.5000  0.0000  2 Ag 2.39
P  0.5000  0.0000  0.0000  2 Ag 2.39
N  0.5000  0.5000  0.5000  8 P 3.07, 4 O 3.38
O  0.0000  0.0000  0.5000  2 Ag 1.93

Results
DOS at the Fermi energy ... 1.061 states/eV per atom

---

(ii)
AgP2NO after structural relaxation. Source: Alexandria via LeMat-Bulk, functional PBE.

abc: 4.0129 4.0129 3.8959
angles: 90.00 90.00 90.00
Closest atoms and distances in Å follow each position.
Element x y z (fractional)
Ag  0.0000  0.0000  0.0000  8 P 2.80, 4 O 2.84
P  0.0000  0.5000  0.5000  2 N 2.01
P  0.5000  0.0000  0.5000  2 N 2.01
N  0.5000  0.5000  0.5000  2 O 1.95, 4 P 2.01
O  0.5000  0.5000  0.0000  2 N 1.95

Results
DOS at the Fermi energy ... 0.417 states/eV per atom

---

Last place for stability: (i)

---

(i)
AgTe2NO after structural relaxation. Source: Alexandria via LeMat-Bulk, functional PBE.

abc: 4.8473 4.8473 3.9664
angles: 90.00 90.00 90.00
Closest atoms and distances in Å follow each position.
Element x y z (fractional)
Ag  0.0000  0.0000  0.0000  8 Te 3.13, 4 N 3.43
Te  0.0000  0.5000  0.5000  2 O 2.42
Te  0.5000  0.0000  0.5000  2 O 2.42
N  0.5000  0.5000  0.0000  2 O 1.98
O  0.5000  0.5000  0.5000  2 N 1.98

Results
DOS at the Fermi energy ... 0.779 states/eV per atom

---

(ii)
AgTe2NO after structural relaxation. Source: Alexandria via LeMat-Bulk, functional PBE.

abc: 5.5294 5.5294 3.9079
angles: 90.00 90.00 90.00
Closest atoms and distances in Å follow each position.
Element x y z (fractional)
Ag  0.0000  0.0000  0.0000  2 N 1.95
Te  0.0000  0.5000  0.0000  2 Ag 2.76
Te  0.5000  0.0000  0.0000  2 Ag 2.76
N  0.0000  0.0000  0.5000  2 Ag 1.95
O  0.5000  0.5000  0.5000  8 Te 3.39

Results
DOS at the Fermi energy ... 0.872 states/eV per atom

---

Last place for stability: (ii)

---

(i)
Ag3OsN after structural relaxation. Source: Alexandria via LeMat-Bulk, functional PBE.

abc: 4.2844 4.2844 4.2844
angles: 90.00 90.00 90.00
Closest atoms and distances in Å follow each position.
Element x y z (fractional)
Ag  0.0000  0.0000  0.5000  2 N 2.14
Ag  0.0000  0.5000  0.0000  2 N 2.14
Ag  0.5000  0.0000  0.0000  2 N 2.14
Os  0.5000  0.5000  0.5000  12 Ag 3.03
N  0.0000  0.0000  0.0000  6 Ag 2.14

Results
DOS at the Fermi energy ... 0.758 states/eV per atom

---

(ii)
Ag3OsN after structural relaxation. Source: Alexandria via LeMat-Bulk, functional PBE.

abc: 5.0284 5.0284 5.0284
angles: 90.00 90.00 90.00
Closest atoms and distances in Å follow each position.
Element x y z (fractional)
Ag  0.0000  0.0000  0.5000  2 Os 2.51
Ag  0.0000  0.5000  0.0000  2 Os 2.51
Ag  0.5000  0.0000  0.0000  2 Os 2.51
Os  0.0000  0.0000  0.0000  6 Ag 2.51
N  0.5000  0.5000  0.5000  12 Ag 3.56

Results
DOS at the Fermi energy ... 2.896 states/eV per atom

---

Last place for stability: (ii)

---

(i)
AgOsSN2 after structural relaxation. Source: Alexandria via LeMat-Bulk, functional PBE.

abc: 3.7727 3.7727 5.3358
angles: 90.00 90.00 90.00
Closest atoms and distances in Å follow each position.
Element x y z (fractional)
Ag  0.0000  0.0000  0.0000  4 S 2.67
Os  0.5000  0.5000  0.5000  4 N 1.89
S  0.5000  0.5000  0.0000  4 Ag 2.67, 2 Os 2.67
N  0.0000  0.5000  0.5000  2 Os 1.89
N  0.5000  0.0000  0.5000  2 Os 1.89

Results
DOS at the Fermi energy ... 0.468 states/eV per atom

---

(ii)
AgOsSN2 after structural relaxation. Source: Alexandria via LeMat-Bulk, functional PBE.

abc: 3.9040 3.9040 5.0151
angles: 90.00 90.00 90.00
Closest atoms and distances in Å follow each position.
Element x y z (fractional)
Ag  0.0000  0.0000  0.0000  4 N 1.95
Os  0.5000  0.5000  0.5000  4 S 2.76
S  0.0000  0.0000  0.5000  2 Ag 2.51, 4 Os 2.76
N  0.0000  0.5000  0.0000  2 Ag 1.95
N  0.5000  0.0000  0.0000  2 Ag 1.95

Results
DOS at the Fermi energy ... 1.315 states/eV per atom

---

Last place for stability: (ii)

---

(i)
AgOsSe2N after structural relaxation. Source: Alexandria via LeMat-Bulk, functional PBE.

abc: 5.0652 5.0652 3.8049
angles: 90.00 90.00 90.00
Closest atoms and distances in Å follow each position.
Element x y z (fractional)
Ag  0.0000  0.0000  0.0000  2 N 1.90
Os  0.5000  0.5000  0.5000  8 Se 3.17
Se  0.0000  0.5000  0.0000  2 Ag 2.53
Se  0.5000  0.0000  0.0000  2 Ag 2.53
N  0.0000  0.0000  0.5000  2 Ag 1.90

Results
DOS at the Fermi energy ... 1.186 states/eV per atom

---

(ii)
AgOsSe2N after structural relaxation. Source: Alexandria via LeMat-Bulk, functional PBE.

abc: 5.1539 5.1539 3.6656
angles: 90.00 90.00 90.00
Closest atoms and distances in Å follow each position.
Element x y z (fractional)
Ag  0.0000  0.0000  0.0000  8 Se 3.16
Os  0.5000  0.5000  0.5000  2 N 1.83
Se  0.0000  0.5000  0.5000  2 Os 2.58
Se  0.5000  0.0000  0.5000  2 Os 2.58
N  0.5000  0.5000  0.0000  2 Os 1.83

Results
DOS at the Fermi energy ... 0.875 states/eV per atom

---

Last place for stability: (i)